1.
Entry from the Open Quantum Materials Database: crystalline PmMgZr at its relaxed geometry (GGA-PBE).

a = 5.028 Å, b = 5.028 Å, c = 5.028 Å
α = 60.00°, β = 60.00°, γ = 60.00°
Sites, in units of the cell vectors:
Pm 0.000 0.000 0.000
Mg 0.250 0.250 0.250
Zr 0.500 0.500 0.500

Computed properties:
- symmetry = No. 216
- total moment (μB per formula unit) = 0.3
- E (eV/atom) = -4.294
- crystal system = cubic

2.
Entry from the Open Quantum Materials Database: crystalline LiPm at its relaxed geometry (GGA-PBE).

a = 4.340 Å, b = 4.340 Å, c = 4.340 Å
α = 60.00°, β = 60.00°, γ = 60.00°
Sites, in units of the cell vectors:
Li 0.000 0.000 0.000
Pm 0.500 0.500 0.500

Computed properties:
- symmetry = No. 225
- total moment (μB per formula unit) = 1.3
- E (eV/atom) = -2.814
- crystal system = cubic

3.
Entry from the Open Quantum Materials Database: crystalline Er2Pd at its relaxed geometry (GGA-PBE).

a = 5.927 Å, b = 5.927 Å, c = 5.927 Å
α = 60.00°, β = 60.00°, γ = 60.00°
Sites, in units of the cell vectors:
Er 0.000 0.000 0.000
Er 0.000 0.000 0.500
Er 0.000 0.500 0.000
Er 0.500 0.000 0.000
Pd 0.375 0.375 0.375
Pd 0.625 0.625 0.625

Computed properties:
- symmetry = No. 227
- total moment (μB per formula unit) = 0.0
- formation energy from the elements (kJ/mol of atoms) = 36.47
- crystal system = cubic

4.
Entry from the Open Quantum Materials Database: crystalline BeAg at its relaxed geometry (GGA-PBE).

a = 3.401 Å, b = 3.401 Å, c = 3.401 Å
α = 60.00°, β = 60.00°, γ = 60.00°
Sites, in units of the cell vectors:
Be 0.000 0.000 0.000
Ag 0.500 0.500 0.500

Computed properties:
- symmetry = No. 225
- E (eV/atom) = -2.737
- crystal system = cubic

5.
Entry from the Open Quantum Materials Database: crystalline CdTePd2 at its relaxed geometry (GGA-PBE).

a = 4.777 Å, b = 4.777 Å, c = 4.777 Å
α = 60.00°, β = 60.00°, γ = 60.00°
Sites, in units of the cell vectors:
Cd 0.000 0.000 0.000
Te 0.750 0.750 0.750
Pd 0.250 0.250 0.250
Pd 0.500 0.500 0.500

Computed properties:
- symmetry = No. 216
- E (eV/atom) = -3.664
- crystal system = cubic

6.
Entry from the Open Quantum Materials Database: crystalline Y2AgAs at its relaxed geometry (GGA-PBE).

a = 5.110 Å, b = 5.110 Å, c = 5.110 Å
α = 60.00°, β = 60.00°, γ = 60.00°
Sites, in units of the cell vectors:
Y 0.000 0.000 0.000
Y 0.250 0.250 0.250
Ag 0.750 0.750 0.750
As 0.500 0.500 0.500

Computed properties:
- symmetry = No. 216
- total moment (μB per formula unit) = 0.4
- E (eV/atom) = -5.081
- crystal system = cubic